This record from the Alexandria database describes a relaxed structure of Li2CrTeP. The functional is PBE-GGA.

formation energy from raw total energies: -316 meV/atom
crystal system: tetragonal

abc: 4.6559 4.5569 4.6559
angles: 90.00 90.00 90.00
Site moments in Bohr magnetons follow the coordinates.
Atoms (fractional coordinates):
Cr1 0.0000 0.5000 0.0000  3.21
Li1 0.0000 0.0000 0.5000  0.00
Li2 0.5000 0.0000 0.0000  0.00
Te1 0.5000 0.5000 0.5000  -0.16
P1 0.0000 0.0000 0.0000  -0.21

=====

This record from the Alexandria database describes a relaxed structure of Li2TlCrP. The functional is PBE-GGA.

energy relative to the elements: 0.202 eV/atom
crystal system: tetragonal

abc: 5.1341 4.4130 5.1341
angles: 90.00 90.00 90.00
Site moments in Bohr magnetons follow the coordinates.
Atoms (fractional coordinates):
Li1 0.0000 0.0000 0.5000  0.03
Li2 0.5000 0.0000 0.0000  0.05
Tl1 0.5000 0.5000 0.5000  -0.02
P1 0.0000 0.5000 0.0000  -0.15
Cr1 0.0000 0.0000 0.0000  3.07